Record 1
! KCaLaPb2 (GGA-PBE, relaxed); values from VASP
&SYSTEM
  ibrav = 0, nat = 5, ntyp = 4
/
ATOMIC_SPECIES
Pb 207.20 Pb.upf
La 138.91 La.upf
Ca 40.08 Ca.upf
K 39.10 K.upf
CELL_PARAMETERS angstrom
-3.315 4.391 -2.210
-2.464 0.530 4.748
4.096 3.941 1.685
ATOMIC_POSITIONS crystal
Pb 0.500 0.000 0.000
Pb 0.000 0.000 0.500
La 0.500 0.500 0.500
Ca 0.000 0.500 0.000
K 0.000 0.000 0.000
! Space group   No. 123
! N(E_F)   4.5 states/eV/f.u.
! Formation energy   2.5 eV/f.u.
! Magnetization   0.000 μB per atom


Record 2
! HoMgZrMo (GGA-PBE, relaxed); values from VASP
&SYSTEM
  ibrav = 0, nat = 4, ntyp = 4
/
ATOMIC_SPECIES
Ho 164.93 Ho.upf
Mg 24.30 Mg.upf
Mo 95.94 Mo.upf
Zr 91.22 Zr.upf
CELL_PARAMETERS angstrom
-3.243 2.467 -2.795
-4.682 -1.548 -0.301
-3.609 2.617 2.130
ATOMIC_POSITIONS crystal
Ho 0.250 0.250 0.250
Mg 0.500 0.500 0.500
Mo 0.000 0.000 0.000
Zr 0.750 0.750 0.750
! Space group   No. 216
! N(E_F)   2.5 states/eV/f.u.
! Formation energy   0.5 eV/f.u.
! Magnetization   0.000 μB per atom


Record 3
! MgCd2Fe (GGA-PBE, relaxed); values from VASP
&SYSTEM
  ibrav = 0, nat = 4, ntyp = 3
/
ATOMIC_SPECIES
Cd 112.41 Cd.upf
Fe 55.84 Fe.upf
Mg 24.30 Mg.upf
CELL_PARAMETERS angstrom
4.762 0.000 0.000
0.000 2.971 -0.265
0.000 0.461 5.124
ATOMIC_POSITIONS crystal
Cd 0.500 0.125 0.306
Cd 0.000 0.125 0.954
Fe 0.000 0.625 0.458
Mg 0.500 0.625 0.782
! Space group   No. 25
! N(E_F)   3.2 states/eV/f.u.
! Formation energy   0.8 eV/f.u.
! Magnetization   0.631 μB per atom


Record 4
! CaRePCl2 (GGA-PBE, relaxed); values from VASP
&SYSTEM
  ibrav = 0, nat = 5, ntyp = 4
/
ATOMIC_SPECIES
Cl 35.45 Cl.upf
P 30.97 P.upf
Re 186.21 Re.upf
Ca 40.08 Ca.upf
CELL_PARAMETERS angstrom
-4.448 0.129 -2.149
0.857 -4.419 -2.039
-1.843 -2.062 3.692
ATOMIC_POSITIONS crystal
Cl 0.000 0.500 0.000
Cl 0.500 0.000 0.000
P 0.000 0.000 0.500
Re 0.000 0.000 0.000
Ca 0.500 0.500 0.500
! Space group   No. 123
! Raw formation energy   -0.2900 eV per atom
! N(E_F)   3.7 states/eV/f.u.
! Offset from the most stable computed form   0.0 kJ/mol of formula units
! Magnetization   0.091 μB per atom


Record 5
! Sm8Sb2Ir3 (GGA-PBE, relaxed); values from VASP
&SYSTEM
  ibrav = 0, nat = 13, ntyp = 3
/
ATOMIC_SPECIES
Sm 150.36 Sm.upf
Sb 121.76 Sb.upf
Ir 192.22 Ir.upf
CELL_PARAMETERS angstrom
-6.699 1.966 -0.493
-0.007 -2.008 -7.907
-0.063 -6.781 5.930
ATOMIC_POSITIONS crystal
Sm 0.885 0.593 0.186
Sm 0.603 0.133 0.788
Sm 0.397 0.867 0.212
Sm 0.115 0.407 0.814
Sm 0.397 0.345 0.212
Sm 0.905 0.100 0.199
Sm 0.095 0.900 0.801
Sm 0.603 0.655 0.788
Sb 0.664 0.742 0.484
Sb 0.336 0.258 0.516
Ir 0.000 0.747 0.000
Ir 0.500 0.000 0.000
Ir 0.000 0.253 0.000
! Space group   No. 12
! Raw formation energy   -0.6389 eV per atom
! N(E_F)   7.5 states/eV/f.u.
! Magnetization   0.000 μB per atom


Record 6
! NdZnGa3Pd (GGA-PBE, relaxed); values from VASP
&SYSTEM
  ibrav = 0, nat = 12, ntyp = 4
/
ATOMIC_SPECIES
Ga 69.72 Ga.upf
Nd 144.24 Nd.upf
Zn 65.41 Zn.upf
Pd 106.42 Pd.upf
CELL_PARAMETERS angstrom
-5.694 -2.247 -1.439
2.633 -4.254 -3.776
-0.949 -1.809 6.580
ATOMIC_POSITIONS crystal
Ga 0.750 0.850 0.700
Ga 0.500 0.707 0.000
Ga 0.000 0.707 0.000
Ga 0.250 0.150 0.300
Ga 0.500 0.293 0.000
Ga 0.000 0.293 0.000
Nd 0.250 0.704 0.407
Nd 0.750 0.296 0.593
Zn 0.750 0.066 0.131
Zn 0.250 0.934 0.869
Pd 0.750 0.643 0.286
Pd 0.250 0.357 0.714
! Space group   No. 63
! N(E_F)   2.1 states/eV/f.u.
! Formation energy   -1.8 eV/f.u.
! Magnetization   0.000 μB per atom


Record 7
! AlFe3H (GGA-PBE, relaxed); values from VASP
&SYSTEM
  ibrav = 0, nat = 10, ntyp = 3
/
ATOMIC_SPECIES
Fe 55.84 Fe.upf
H 1.01 H.upf
Al 26.98 Al.upf
CELL_PARAMETERS angstrom
5.060 0.250 -0.327
0.240 4.697 0.202
0.834 -2.196 4.080
ATOMIC_POSITIONS crystal
Fe 0.656 0.274 0.106
Fe 0.117 0.797 0.629
Fe 0.156 0.284 0.096
Fe 0.386 0.286 0.618
Fe 0.617 0.808 0.619
Fe 0.887 0.796 0.107
H 0.885 0.576 0.323
H 0.389 0.506 0.403
Al 0.887 0.290 0.613
Al 0.386 0.792 0.112
! Space group   No. 2
! N(E_F)   3.9 states/eV/f.u.
! Offset from the most stable computed form   21.3 kJ/mol of formula units
! Magnetization   1.257 μB per atom


Record 8
! BeAg2CBr (GGA-PBE, relaxed); values from VASP
&SYSTEM
  ibrav = 0, nat = 5, ntyp = 4
/
ATOMIC_SPECIES
C 12.01 C.upf
Ag 107.87 Ag.upf
Br 79.90 Br.upf
Be 9.01 Be.upf
CELL_PARAMETERS angstrom
5.222 0.000 0.000
0.000 4.378 0.000
0.000 0.000 5.222
ATOMIC_POSITIONS crystal
C 0.500 0.500 0.500
Ag 0.000 0.000 0.500
Ag 0.500 0.000 0.000
Br 0.000 0.000 0.000
Be 0.000 0.500 0.000
! Space group   No. 123
! Raw formation energy   2.1790 eV per atom
! N(E_F)   3.6 states/eV/f.u.
! Magnetization   0.366 μB per atom


Number 6 is which compound?
NdZnGa3Pd


Which of these has the lowest N(E_F)?
NdZnGa3Pd


The highest N(E_F) belongs to which entry?
Sm8Sb2Ir3


N(E_F) of number 7 (AlFe3H)?
3.9 states/eV/f.u.